Here is crystalline Np2AuS2N2 at its relaxed geometry from Alexandria. Energies are from PBE.

Cell and atoms, written as CIF:
```
data_Np2AuS2N2
_chemical_formula_sum 'Np2 Au1 S2 N2'
_symmetry_space_group_name_H-M 'P -3 m 1'
_symmetry_Int_Tables_number 164
_symmetry_space_group_name_Hall '-P 3 2"'
_cell_length_a 3.7011
_cell_length_b 3.7011
_cell_length_c 11.8682
_cell_angle_alpha 90.00
_cell_angle_beta 90.00
_cell_angle_gamma 120.00
loop_
_atom_site_label
_atom_site_type_symbol
_atom_site_fract_x
_atom_site_fract_y
_atom_site_fract_z
Np1 Np 0.3333 0.6667 0.2924
Au1 Au 0.0000 0.0000 0.5000
S1 S 0.0000 0.0000 0.1590
N1 N 0.3333 0.6667 0.6568
```

Values from the calculation:
**Formation energy (no corrections)**: -0.666 eV per atom

Here is crystalline BaMnIn2 at its relaxed geometry from Alexandria. Energies are from PBE.

Cell and atoms, written as CIF:
```
data_BaMnIn2
_chemical_formula_sum 'Ba1 Mn1 In2'
_symmetry_space_group_name_H-M 'P m m m'
_symmetry_Int_Tables_number 47
_symmetry_space_group_name_Hall '-P 2 2'
_cell_length_a 4.793
_cell_length_b 4.837
_cell_length_c 5.079
_cell_angle_alpha 90.00
_cell_angle_beta 90.00
_cell_angle_gamma 90.00
loop_
_atom_site_label
_atom_site_type_symbol
_atom_site_fract_x
_atom_site_fract_y
_atom_site_fract_z
Ba1 Ba 0.000 0.000 0.000
Mn1 Mn 0.500 0.500 0.000
In1 In 0.000 0.500 0.500
In2 In 0.500 0.000 0.500
```

Values from the calculation:
**Formation energy from the elements**: 0.201 eV per atom

Here is crystalline CuRuO2F at its relaxed geometry from Alexandria. Energies are from PBE.

Cell and atoms, written as CIF:
```
data_CuRuO2F
_chemical_formula_sum 'Cu1 Ru1 O2 F1'
_symmetry_space_group_name_H-M 'P 4/m m m'
_symmetry_Int_Tables_number 123
_symmetry_space_group_name_Hall '-P 4 2'
_cell_length_a 3.805
_cell_length_b 3.805
_cell_length_c 4.301
_cell_angle_alpha 90.00
_cell_angle_beta 90.00
_cell_angle_gamma 90.00
loop_
_atom_site_label
_atom_site_type_symbol
_atom_site_fract_x
_atom_site_fract_y
_atom_site_fract_z
Cu1 Cu 0.000 0.000 0.000
Ru1 Ru 0.500 0.500 0.500
O1 O 0.000 0.500 0.500
F1 F 0.500 0.500 0.000
```

Values from the calculation:
**Formation energy (no corrections)**: -0.503 eV per atom

Here is crystalline La4Pm3Sm at its relaxed geometry from Alexandria. Energies are from PBE.

Cell and atoms, written as CIF:
```
data_La4Pm3Sm
_chemical_formula_sum 'La8 Pm6 Sm2'
_symmetry_space_group_name_H-M 'P m n 21'
_symmetry_Int_Tables_number 31
_symmetry_space_group_name_Hall 'P 2ac -2'
_cell_length_a 11.934
_cell_length_b 7.451
_cell_length_c 6.465
_cell_angle_alpha 90.00
_cell_angle_beta 90.00
_cell_angle_gamma 90.00
loop_
_atom_site_label
_atom_site_type_symbol
_atom_site_fract_x
_atom_site_fract_y
_atom_site_fract_z
La1 La 0.000 0.124 0.000
La2 La 0.000 0.873 0.501
La3 La 0.250 0.126 0.328
Pm1 Pm 0.000 0.377 0.498
Pm2 Pm 0.250 0.376 0.830
Sm1 Sm 0.000 0.623 0.000
```

Values from the calculation:
**Formation energy from the elements**: 0.034 eV per atom

Here is crystalline BaLiTe at its relaxed geometry from Alexandria. Energies are from PBE.

Cell and atoms, written as CIF:
```
data_BaLiTe
_chemical_formula_sum 'Ba2 Li2 Te2'
_symmetry_space_group_name_H-M 'I 4 m m'
_symmetry_Int_Tables_number 107
_symmetry_space_group_name_Hall 'I 4 -2'
_cell_length_a 4.127
_cell_length_b 4.127
_cell_length_c 11.688
_cell_angle_alpha 90.00
_cell_angle_beta 90.00
_cell_angle_gamma 90.00
loop_
_atom_site_label
_atom_site_type_symbol
_atom_site_fract_x
_atom_site_fract_y
_atom_site_fract_z
Ba1 Ba 0.000 0.000 0.000
Li1 Li 0.000 0.000 0.724
Te1 Te 0.000 0.000 0.305
```

Values from the calculation:
**Formation energy (no corrections)**: -0.849 eV per atom

Here is crystalline LaDyAsP at its relaxed geometry from Alexandria. Energies are from PBE.

Cell and atoms, written as CIF:
```
data_LaDyAsP
_chemical_formula_sum 'La3 Dy3 As3 P3'
_symmetry_space_group_name_H-M 'R 3 m'
_symmetry_Int_Tables_number 160
_symmetry_space_group_name_Hall 'R 3 -2"'
_cell_length_a 4.1306
_cell_length_b 4.1306
_cell_length_c 21.4199
_cell_angle_alpha 90.00
_cell_angle_beta 90.00
_cell_angle_gamma 120.00
loop_
_atom_site_label
_atom_site_type_symbol
_atom_site_fract_x
_atom_site_fract_y
_atom_site_fract_z
La1 La 0.0000 0.0000 0.0000
Dy1 Dy 0.0000 0.0000 0.8250
As1 As 0.0000 0.0000 0.2401
P1 P 0.0000 0.0000 0.4174
```

Values from the calculation:
**Formation energy from the elements**: -1.442 eV per atom

Here is crystalline Y2SiP at its relaxed geometry from Alexandria. Energies are from PBE.

Cell and atoms, written as CIF:
```
data_Y2SiP
_chemical_formula_sum 'Y4 Si2 P2'
_symmetry_space_group_name_H-M 'I m m m'
_symmetry_Int_Tables_number 71
_symmetry_space_group_name_Hall '-I 2 2'
_cell_length_a 4.295
_cell_length_b 5.491
_cell_length_c 7.560
_cell_angle_alpha 90.00
_cell_angle_beta 90.00
_cell_angle_gamma 90.00
loop_
_atom_site_label
_atom_site_type_symbol
_atom_site_fract_x
_atom_site_fract_y
_atom_site_fract_z
Y1 Y 0.000 0.000 0.243
Si1 Si 0.000 0.500 0.000
P1 P 0.000 0.500 0.500
```

Values from the calculation:
**Formation energy (no corrections)**: -0.745 eV per atom

Here is crystalline SbP2OsO at its relaxed geometry from Alexandria. Energies are from PBE.

Cell and atoms, written as CIF:
```
data_SbP2OsO
_chemical_formula_sum 'Sb1 P2 Os1 O1'
_symmetry_space_group_name_H-M 'P 4/m m m'
_symmetry_Int_Tables_number 123
_symmetry_space_group_name_Hall '-P 4 2'
_cell_length_a 4.863
_cell_length_b 4.863
_cell_length_c 3.697
_cell_angle_alpha 90.00
_cell_angle_beta 90.00
_cell_angle_gamma 90.00
loop_
_atom_site_label
_atom_site_type_symbol
_atom_site_fract_x
_atom_site_fract_y
_atom_site_fract_z
Sb1 Sb 0.000 0.000 0.000
P1 P 0.000 0.500 0.500
Os1 Os 0.500 0.500 0.500
O1 O 0.500 0.500 0.000
```

Values from the calculation:
**Formation energy (no corrections)**: 0.074 eV per atom

Here is crystalline Mn2CoSi at its relaxed geometry from Alexandria. Energies are from PBE.

Cell and atoms, written as CIF:
```
data_Mn2CoSi
_chemical_formula_sum 'Mn4 Co2 Si2'
_symmetry_space_group_name_H-M 'I 4/m m m'
_symmetry_Int_Tables_number 139
_symmetry_space_group_name_Hall '-I 4 2'
_cell_length_a 3.466
_cell_length_b 3.466
_cell_length_c 7.333
_cell_angle_alpha 90.00
_cell_angle_beta 90.00
_cell_angle_gamma 90.00
loop_
_atom_site_label
_atom_site_type_symbol
_atom_site_fract_x
_atom_site_fract_y
_atom_site_fract_z
Mn1 Mn 0.000 0.500 0.250
Co1 Co 0.000 0.000 0.000
Si1 Si 0.000 0.000 0.500
```

Values from the calculation:
**Formation energy (no corrections)**: -0.249 eV per atom

Here is crystalline Tc2HgRh at its relaxed geometry from Alexandria. Energies are from PBE.

Cell and atoms, written as CIF:
```
data_Tc2HgRh
_chemical_formula_sum 'Tc2 Hg1 Rh1'
_symmetry_space_group_name_H-M 'P 1 m 1'
_symmetry_Int_Tables_number 6
_symmetry_space_group_name_Hall 'P -2y'
_cell_length_a 2.831
_cell_length_b 4.264
_cell_length_c 5.550
_cell_angle_alpha 90.00
_cell_angle_beta 104.25
_cell_angle_gamma 90.00
loop_
_atom_site_label
_atom_site_type_symbol
_atom_site_fract_x
_atom_site_fract_y
_atom_site_fract_z
Tc1 Tc 0.000 0.000 0.000
Tc2 Tc 0.131 0.500 0.219
Hg1 Hg 0.761 0.000 0.488
Rh1 Rh 0.397 0.500 0.773
```

Values from the calculation:
**Formation energy from the elements**: 0.371 eV per atom

Here is crystalline Dy2PaSn at its relaxed geometry from Alexandria. Energies are from PBE.

Cell and atoms, written as CIF:
```
data_Dy2PaSn
_chemical_formula_sum 'Dy2 Pa1 Sn1'
_symmetry_space_group_name_H-M 'P 4/m m m'
_symmetry_Int_Tables_number 123
_symmetry_space_group_name_Hall '-P 4 2'
_cell_length_a 3.823
_cell_length_b 3.823
_cell_length_c 7.345
_cell_angle_alpha 90.00
_cell_angle_beta 90.00
_cell_angle_gamma 90.00
loop_
_atom_site_label
_atom_site_type_symbol
_atom_site_fract_x
_atom_site_fract_y
_atom_site_fract_z
Dy1 Dy 0.000 0.000 0.232
Pa1 Pa 0.500 0.500 0.500
Sn1 Sn 0.500 0.500 0.000
```

Values from the calculation:
**Formation energy from the elements**: -0.162 eV per atom

Here is crystalline CaZrAs2 at its relaxed geometry from Alexandria. Energies are from PBE.

Cell and atoms, written as CIF:
```
data_CaZrAs2
_chemical_formula_sum 'Ca2 Zr2 As4'
_symmetry_space_group_name_H-M 'I -4 m 2'
_symmetry_Int_Tables_number 119
_symmetry_space_group_name_Hall 'I -4 -2'
_cell_length_a 4.018
_cell_length_b 4.018
_cell_length_c 10.670
_cell_angle_alpha 90.00
_cell_angle_beta 90.00
_cell_angle_gamma 90.00
loop_
_atom_site_label
_atom_site_type_symbol
_atom_site_fract_x
_atom_site_fract_y
_atom_site_fract_z
Ca1 Ca 0.000 0.000 0.000
Zr1 Zr 0.000 0.500 0.750
As1 As 0.000 0.000 0.500
As2 As 0.000 0.500 0.250
```

Values from the calculation:
**Formation energy from the elements**: -0.700 eV per atom

Number 1: total magnetization 4.10 Bohr magnetons per cell, VASP energy -58.72 eV for the cell shown. Number 2: total magnetization 4.23 Bohr magnetons per cell, VASP energy -15.77 eV for the cell shown. Number 3: total magnetization 1.17 Bohr magnetons per cell, VASP energy -27.67 eV for the cell shown. Number 4: total magnetization 0.00 Bohr magnetons per cell, VASP energy -76.81 eV for the cell shown. Number 5: total magnetization 1.85 Bohr magnetons per cell, VASP energy -19.05 eV for the cell shown. Number 6: total magnetization 0.00 Bohr magnetons per cell, VASP energy -76.07 eV for the cell shown. Number 7: total magnetization 0.00 Bohr magnetons per cell, VASP energy -53.48 eV for the cell shown. Number 8: total magnetization 0.00 Bohr magnetons per cell, VASP energy -30.76 eV for the cell shown. Number 9: total magnetization 4.38 Bohr magnetons per cell, VASP energy -63.73 eV for the cell shown. Number 10: total magnetization 0.00 Bohr magnetons per cell, VASP energy -26.90 eV for the cell shown. Number 11: total magnetization 0.00 Bohr magnetons per cell, VASP energy -23.35 eV for the cell shown. Number 12: total magnetization 0.00 Bohr magnetons per cell, VASP energy -45.30 eV for the cell shown.